Ce3Y2ScS6 | PBE | optimized geometry

It has space group C2/m (No. 12), with a = 6.7736 Å, b = 11.7414 Å, c = 6.8945 Å, α = 90.00°, β = 109.19° and γ = 90.00°. The distinct sites, in fractional coordinates, are Ce at (0.0000, 0.0000, 0.0000), Ce at (0.0000, 0.3303, 0.0000), Y at (0.0000, 0.1663, 0.5000), Sc at (0.0000, 0.5000, 0.5000), S at (0.2392, 0.3380, 0.7324) and S at (0.2452, 0.5000, 0.2641).

Its crystal system is monoclinic. The raw formation energy comes out at -192.6 kJ per mole of atoms. Its volume is 517.9 Å³/cell. The magnetization comes out at 4.983 μB per cell. As for the calculated total energy: -85.78 eV per formula unit.


Cs3Zr3AgSe8 | PBE | optimized geometry

It has space group R-3m (No. 166, hexagonal axes), with a = 8.0504 Å, b = 8.0504 Å, c = 25.1710 Å, α = 90.00°, β = 90.00° and γ = 120.00°. The distinct sites, in fractional coordinates, are Cs at (0.0000, 0.5000, 0.0000), Zr at (0.0000, 0.5000, 0.5000), Ag at (0.0000, 0.0000, 0.5000), Se at (0.0000, 0.0000, 0.2277) and Se at (0.0211, 0.5106, 0.7735).

Its crystal system is trigonal. The raw formation energy comes out at -112.0 kJ per mole of atoms. Its volume is 1412.9 Å³/cell. The magnetization comes out at 0.000 μB per cell. As for the calculated total energy: -76.35 eV per formula unit.


TbCe2ZrN4 | PBE | optimized geometry

It has space group P2/m (No. 10), with a = 5.9863 Å, b = 3.4458 Å, c = 6.0427 Å, α = 90.00°, β = 109.17° and γ = 90.00°. The distinct sites, in fractional coordinates, are Tb at (0.0000, 0.0000, 0.0000), Ce at (0.0000, 0.5000, 0.5000), Ce at (0.5000, 0.0000, 0.5000), Zr at (0.5000, 0.5000, 0.0000), N at (0.2595, 0.5000, 0.2384) and N at (0.2671, 0.0000, 0.7686).

Its crystal system is monoclinic. The raw formation energy comes out at -154.8 kJ per mole of atoms. Its volume is 117.7 Å³/cell. The magnetization comes out at 0.000 μB per cell. As for the calculated total energy: -71.18 eV per formula unit.


Hf2InPb | PBE | optimized geometry

It has space group R3m (No. 160, hexagonal axes), with a = 3.2453 Å, b = 3.2453 Å, c = 30.5419 Å, α = 90.00°, β = 90.00° and γ = 120.00°. The distinct sites, in fractional coordinates, are Hf at (0.0000, 0.0000, 0.0000), Hf at (0.0000, 0.0000, 0.1675), In at (0.0000, 0.0000, 0.5838) and Pb at (0.0000, 0.0000, 0.7505).

Its crystal system is trigonal. Its energy above the most stable polymorph in this dataset is 1 meV/atom. Its volume is 278.6 Å³/cell. The magnetization comes out at 0.000 μB per cell. As for the calculated total energy: -26.41 eV per formula unit.


Look up the magnetization of the first one. 4.983 μB per cell